DFT (GGA-PBE) results for a relaxed LaS2NCl crystal.

formation energy without anion corrections	0.336	eV/atom
calculated volume	34.1	Å³ per atom
magnetization	5.01	μB/cell

```
LaS2NCl
1.0
-2.385 0.419 -5.074
3.675 -3.736 -2.036
-3.378 -4.008 1.257
N S Cl La
1 2 1 1
Direct
0.500 0.500 0.500 N
0.000 0.500 0.000 S
0.500 0.000 0.000 S
0.000 0.000 0.500 Cl
0.000 0.000 0.000 La
```

***

DFT (GGA-PBE) results for a relaxed Tl2InIr crystal.

calculated volume	22.6	Å³ per atom
energy of formation from the pure elements	0.539	eV per atom
magnetization	0.00	μB/cell

```
Tl2InIr
1.0
-3.893 0.133 3.404
1.919 -4.788 -0.395
2.346 0.721 2.655
In Ir Tl
1 1 2
Direct
0.500 0.000 0.500 In
0.000 0.500 0.500 Ir
0.000 0.000 0.000 Tl
0.500 0.500 0.000 Tl
```

***

DFT (GGA-PBE) results for a relaxed YGeH2Pt crystal.

total energy	-4.925	eV/atom
calculated volume	15.7	Å³ per atom
magnetization	0.00	μB/cell

```
YGeH2Pt
1.0
3.990 0.000 0.000
0.000 4.922 0.000
0.000 0.000 3.990
Y H Ge Pt
1 2 1 1
Direct
0.500 0.500 0.500 Y
0.000 0.000 0.500 H
0.500 0.000 0.000 H
0.000 0.000 0.000 Ge
0.000 0.500 0.000 Pt
```